5
Lattice="5.1684 0.0000 0.0000 0.0000 5.1684 0.0000 0.0000 0.0000 5.1684" Properties=species:S:1:pos:R:3 comment="AlIn3Ir, relaxed, DFT PBE-GGA" relative_energy_ev_per_atom=0.000 sg=Pm-3m pbc="T T T"
Al 0.0000 0.0000 0.0000
In 0.0000 2.5842 2.5842
In 2.5842 0.0000 2.5842
In 2.5842 2.5842 0.0000
Ir 2.5842 2.5842 2.5842

***

20
Lattice="5.6085 -5.1839 0.0000 5.6085 5.1839 0.0000 -0.4594 0.0000 5.7529" Properties=species:S:1:pos:R:3 comment="Mg3PN, relaxed, DFT PBE-GGA" relative_energy_ev_per_atom=0.167 sg=C2/c e_form_raw_ev_per_atom=-0.57 pbc="T T T"
Mg 0.8983 0.7916 2.4943
Mg 4.4284 2.9758 0.2542
Mg 0.6686 -0.7916 5.3707
Mg 3.8679 1.2387 3.5969
Mg 6.5588 2.9758 2.6222
Mg 4.0976 -1.2387 0.7205
Mg 6.6599 1.2387 5.0324
Mg 4.1987 -2.9758 3.1306
Mg 6.8896 -1.2387 2.1559
Mg 10.0889 0.7916 0.3821
Mg 6.3291 -2.9758 5.4986
Mg 9.8592 -0.7916 3.2586
P 3.1156 1.0852 1.2043
P 2.8859 -1.0852 4.0807
P 7.8716 1.0852 1.6721
P 7.6419 -1.0852 4.5486
N 5.4936 4.3628 1.4382
N 5.2639 2.6121 4.3146
N 5.4936 -2.6121 1.4382
N 5.2639 -4.3628 4.3146

***

5
Lattice="5.0045 0.0000 0.0000 0.0000 5.0045 0.0000 0.0000 0.0000 5.0045" Properties=species:S:1:pos:R:3 comment="Sc3PdAu, relaxed, DFT PBE-GGA" relative_energy_ev_per_atom=0.000 sg=Pm-3m pbc="T T T"
Sc 0.0000 0.0000 2.5022
Sc 0.0000 2.5022 0.0000
Sc 2.5022 0.0000 0.0000
Pd 0.0000 0.0000 0.0000
Au 2.5022 2.5022 2.5022

***

4
Lattice="2.8706 0.0000 0.0000 0.0000 4.1102 0.0000 0.0000 0.0000 5.6127" Properties=species:S:1:pos:R:3 comment="InTc2W, relaxed, DFT PBE-GGA" sg=Pmm2 final_energy_ev_per_atom=-8.81 pbc="T T T"
In 0.0000 0.0000 0.0000
Tc 0.0000 0.0000 2.7800
Tc 1.4353 2.0551 1.5176
W 1.4353 2.0551 3.9725